1.
Compound: SrHgCl2
Source: Alexandria
Functional: GGA-PBEsol
Structure: optimized geometry

Unit cell a=5.214 b=5.214 c=5.214 alpha=60.00 beta=60.00 gamma=60.00
Fractional coordinates of all 4 atoms:
Sr 0.000 0.000 0.000
Hg 0.750 0.750 0.750
Cl 0.250 0.250 0.250
Cl 0.500 0.500 0.500

**Uncorrected energy**: -2.97 eV per atom
**Energy relative to the elements, uncorrected**: -525 kJ/mol of formula units
**Relative energy among the computed polymorphs**: 0.341 eV/atom
**Calculated volume**: 25.05 A^3/atom


2.
Compound: VHRu3
Source: Alexandria
Functional: GGA-PBEsol
Structure: optimized geometry

Unit cell a=3.805 b=3.805 c=3.805 alpha=90.00 beta=90.00 gamma=90.00
Fractional coordinates of all 5 atoms:
V 0.000 0.000 0.000
H 0.500 0.500 0.500
Ru 0.000 0.500 0.500
Ru 0.500 0.000 0.500
Ru 0.500 0.500 0.000

**Uncorrected energy**: -8.78 eV per atom
**Calculated volume**: 11.01 A^3/atom


3.
Compound: Mg2FeHg
Source: Alexandria
Functional: GGA-PBEsol
Structure: optimized geometry

Unit cell a=4.941 b=4.941 c=2.991 alpha=90.08 beta=90.08 gamma=106.98
Fractional coordinates of all 4 atoms:
Mg 0.000 0.500 0.000
Mg 0.500 0.000 0.000
Fe 0.000 0.000 0.500
Hg 0.500 0.500 0.500

**Uncorrected energy**: -3.10 eV per atom
**DFT formation energy**: 138 meV per atom
**Calculated volume**: 17.46 A^3/atom


4.
Compound: TaTiAl2Ir
Source: Alexandria
Functional: GGA-PBEsol
Structure: optimized geometry

Unit cell a=4.785 b=4.785 c=4.382 alpha=90.00 beta=90.00 gamma=90.00
Fractional coordinates of all 5 atoms:
Ta 0.000 0.000 0.000
Ti 0.000 0.000 0.500
Al 0.000 0.500 0.000
Al 0.500 0.000 0.000
Ir 0.500 0.500 0.500

**Uncorrected energy**: -6.35 eV per atom
**DFT formation energy**: 1427 meV per atom
**Calculated volume**: 20.06 A^3/atom


5.
Compound: CdSb3Pt
Source: Alexandria
Functional: GGA-PBEsol
Structure: optimized geometry

Unit cell a=5.261 b=5.261 c=5.261 alpha=90.00 beta=90.00 gamma=90.00
Fractional coordinates of all 5 atoms:
Cd 0.000 0.000 0.000
Sb 0.000 0.000 0.500
Sb 0.000 0.500 0.000
Sb 0.500 0.000 0.000
Pt 0.500 0.500 0.500

**Uncorrected energy**: -3.11 eV per atom
**Energy relative to the elements, uncorrected**: 604 kJ/mol of formula units
**Calculated volume**: 29.12 A^3/atom


6.
Compound: LaTl3
Source: Alexandria
Functional: GGA-PBEsol
Structure: optimized geometry

Unit cell a=6.337 b=6.337 c=6.337 alpha=116.96 beta=116.96 gamma=116.96
Fractional coordinates of all 4 atoms:
La 0.000 0.000 0.000
Tl 0.000 0.500 0.500
Tl 0.500 0.000 0.500
Tl 0.500 0.500 0.000

**Uncorrected energy**: -3.52 eV per atom
**DFT formation energy**: -214 meV per atom
**Calculated volume**: 28.24 A^3/atom


7.
Compound: CrMo2
Source: Alexandria
Functional: GGA-PBEsol
Structure: optimized geometry

Unit cell a=5.035 b=5.035 c=6.075 alpha=107.97 beta=107.97 gamma=35.17
Fractional coordinates of all 6 atoms:
Cr 0.167 0.167 0.081
Cr 0.833 0.833 0.919
Mo 0.170 0.170 0.591
Mo 0.497 0.497 0.239
Mo 0.503 0.503 0.761
Mo 0.830 0.830 0.409

**Uncorrected energy**: -11.18 eV per atom
**Relative energy among the computed polymorphs**: 0.010 eV/atom
**DFT formation energy**: 82 meV per atom
**Calculated volume**: 13.99 A^3/atom


8.
Compound: CsMgP2Cl
Source: Alexandria
Functional: GGA-PBEsol
Structure: optimized geometry

Unit cell a=5.384 b=5.384 c=5.847 alpha=90.00 beta=90.00 gamma=90.00
Fractional coordinates of all 5 atoms:
Cs 0.000 0.000 0.000
Mg 0.500 0.500 0.500
P 0.000 0.500 0.000
P 0.500 0.000 0.000
Cl 0.000 0.000 0.500

**Uncorrected energy**: -2.11 eV per atom
**Energy relative to the elements, uncorrected**: 549 kJ/mol of formula units
**Calculated volume**: 33.90 A^3/atom


9.
Compound: SeCl2
Source: Alexandria
Functional: GGA-PBEsol
Structure: optimized geometry

Unit cell a=7.589 b=6.917 c=3.964 alpha=83.76 beta=64.96 gamma=31.28
Fractional coordinates of all 3 atoms:
Se 0.000 0.000 0.000
Cl 0.371 0.371 0.629
Cl 0.629 0.629 0.371

**Uncorrected energy**: -2.75 eV per atom
**Energy relative to the elements, uncorrected**: -38 kJ/mol of formula units
**Calculated volume**: 27.50 A^3/atom


10.
Compound: Cs2CdW
Source: Alexandria
Functional: GGA-PBEsol
Structure: optimized geometry

Unit cell a=6.174 b=6.174 c=6.174 alpha=60.00 beta=60.00 gamma=60.00
Fractional coordinates of all 4 atoms:
Cs 0.250 0.250 0.250
Cs 0.750 0.750 0.750
Cd 0.000 0.000 0.000
W 0.500 0.500 0.500

**Uncorrected energy**: -2.54 eV per atom
**DFT formation energy**: 1678 meV per atom
**Calculated volume**: 41.61 A^3/atom


11.
Compound: InCoO3
Source: Alexandria
Functional: GGA-PBEsol
Structure: optimized geometry

Unit cell a=5.260 b=7.310 c=5.061 alpha=90.00 beta=90.00 gamma=90.00
Fractional coordinates of all 20 atoms:
In 0.063 0.250 0.022
In 0.437 0.750 0.522
In 0.563 0.250 0.478
In 0.937 0.750 0.978
Co 0.000 0.000 0.500
Co 0.000 0.500 0.500
Co 0.500 0.000 0.000
Co 0.500 0.500 0.000
O 0.048 0.750 0.383
O 0.203 0.563 0.801
O 0.203 0.937 0.801
O 0.297 0.063 0.301
O 0.297 0.437 0.301
O 0.452 0.250 0.883
O 0.548 0.750 0.117
O 0.703 0.563 0.699
O 0.703 0.937 0.699
O 0.797 0.063 0.199
O 0.797 0.437 0.199
O 0.952 0.250 0.617

**Uncorrected energy**: -6.54 eV per atom
**Energy relative to the elements, uncorrected**: -603 kJ/mol of formula units
**Calculated volume**: 9.73 A^3/atom


12.
Compound: ScCr2Sb
Source: Alexandria
Functional: GGA-PBEsol
Structure: optimized geometry

Unit cell a=4.548 b=4.548 c=4.548 alpha=60.00 beta=60.00 gamma=60.00
Fractional coordinates of all 4 atoms:
Sc 0.000 0.000 0.000
Cr 0.250 0.250 0.250
Cr 0.500 0.500 0.500
Sb 0.750 0.750 0.750

**Uncorrected energy**: -7.73 eV per atom
**Energy relative to the elements, uncorrected**: 72 kJ/mol of formula units
**Calculated volume**: 16.63 A^3/atom


13.
Compound: MgTcSbI2
Source: Alexandria
Functional: GGA-PBEsol
Structure: optimized geometry

Unit cell a=5.472 b=5.472 c=5.054 alpha=90.00 beta=90.00 gamma=90.00
Fractional coordinates of all 5 atoms:
Mg 0.000 0.000 0.000
Tc 0.500 0.500 0.500
Sb 0.500 0.500 0.000
I 0.000 0.500 0.500
I 0.500 0.000 0.500

**Uncorrected energy**: -3.79 eV per atom
**Energy relative to the elements, uncorrected**: 207 kJ/mol of formula units
**Calculated volume**: 30.27 A^3/atom


14.
Compound: K3TcTe
Source: Alexandria
Functional: GGA-PBEsol
Structure: optimized geometry

Unit cell a=6.050 b=6.050 c=6.050 alpha=90.00 beta=90.00 gamma=90.00
Fractional coordinates of all 5 atoms:
K 0.000 0.000 0.500
K 0.000 0.500 0.000
K 0.500 0.000 0.000
Tc 0.000 0.000 0.000
Te 0.500 0.500 0.500

**Uncorrected energy**: -2.65 eV per atom
**Energy relative to the elements, uncorrected**: 475 kJ/mol of formula units
**Calculated volume**: 44.30 A^3/atom


15.
Compound: CoGeSb2
Source: Alexandria
Functional: GGA-PBEsol
Structure: optimized geometry

Unit cell a=7.208 b=7.208 c=7.208 alpha=132.30 beta=132.30 gamma=69.76
Fractional coordinates of all 8 atoms:
Co 0.000 0.000 0.000
Co 0.750 0.250 0.500
Ge 0.250 0.750 0.500
Ge 0.500 0.500 0.000
Sb 0.082 0.625 0.957
Sb 0.375 0.332 0.457
Sb 0.668 0.125 0.043
Sb 0.875 0.918 0.543

**Uncorrected energy**: -5.21 eV per atom
**Energy relative to the elements, uncorrected**: 93 kJ/mol of formula units
**Calculated volume**: 25.11 A^3/atom


16.
Compound: Y2Co3Si5
Source: Alexandria
Functional: GGA-PBEsol
Structure: optimized geometry

Unit cell a=7.764 b=7.764 c=5.436 alpha=109.17 beta=109.17 gamma=93.46
Fractional coordinates of all 20 atoms:
Y 0.097 0.370 0.236
Y 0.370 0.097 0.736
Y 0.630 0.903 0.264
Y 0.903 0.630 0.764
Co 0.040 0.764 0.373
Co 0.236 0.960 0.127
Co 0.497 0.503 0.250
Co 0.503 0.497 0.750
Co 0.764 0.040 0.873
Co 0.960 0.236 0.627
Si 0.012 0.988 0.750
Si 0.238 0.435 0.834
Si 0.270 0.730 0.750
Si 0.286 0.714 0.250
Si 0.435 0.238 0.334
Si 0.565 0.762 0.666
Si 0.714 0.286 0.750
Si 0.730 0.270 0.250
Si 0.762 0.565 0.166
Si 0.988 0.012 0.250

**Uncorrected energy**: -7.43 eV per atom
**Energy relative to the elements, uncorrected**: -839 kJ/mol of formula units
**Calculated volume**: 14.35 A^3/atom


17.
Compound: Zr2TlAs
Source: Alexandria
Functional: GGA-PBEsol
Structure: optimized geometry

Unit cell a=4.847 b=4.847 c=3.513 alpha=90.00 beta=90.00 gamma=101.31
Fractional coordinates of all 4 atoms:
Zr 0.000 0.500 0.000
Zr 0.500 0.000 0.000
Tl 0.000 0.000 0.500
As 0.500 0.500 0.500

**Uncorrected energy**: -6.88 eV per atom
**Relative energy among the computed polymorphs**: 0.000 eV/atom
**DFT formation energy**: -397 meV per atom
**Calculated volume**: 20.23 A^3/atom


18.
Compound: BiSb2H
Source: Alexandria
Functional: GGA-PBEsol
Structure: optimized geometry

Unit cell a=6.813 b=6.813 c=6.813 alpha=126.65 beta=126.65 gamma=78.82
Fractional coordinates of all 8 atoms:
Bi 0.000 0.000 0.000
Bi 0.750 0.250 0.500
Sb 0.252 0.125 0.627
Sb 0.375 0.748 0.873
Sb 0.498 0.625 0.373
Sb 0.875 0.502 0.127
H 0.250 0.750 0.500
H 0.500 0.500 0.000

**Uncorrected energy**: -3.77 eV per atom
**Calculated volume**: 24.62 A^3/atom


19.
Compound: Fe3CuF
Source: Alexandria
Functional: GGA-PBEsol
Structure: optimized geometry

Unit cell a=3.925 b=3.925 c=3.925 alpha=90.00 beta=90.00 gamma=90.00
Fractional coordinates of all 5 atoms:
Fe 0.000 0.000 0.500
Fe 0.000 0.500 0.000
Fe 0.500 0.000 0.000
Cu 0.500 0.500 0.500
F 0.000 0.000 0.000

**Uncorrected energy**: -6.20 eV per atom
**Energy relative to the elements, uncorrected**: 206 kJ/mol of formula units
**Calculated volume**: 12.09 A^3/atom


20.
Compound: Sc2AsI
Source: Alexandria
Functional: GGA-PBEsol
Structure: optimized geometry

Unit cell a=7.619 b=7.619 c=7.619 alpha=131.71 beta=131.71 gamma=70.69
Fractional coordinates of all 8 atoms:
Sc 0.080 0.625 0.955
Sc 0.375 0.330 0.455
Sc 0.670 0.125 0.045
Sc 0.875 0.920 0.545
As 0.000 0.000 0.000
As 0.750 0.250 0.500
I 0.250 0.750 0.500
I 0.500 0.500 0.000

**Uncorrected energy**: -5.61 eV per atom
**Energy relative to the elements, uncorrected**: -228 kJ/mol of formula units
**Calculated volume**: 30.18 A^3/atom


21.
Compound: Na2TlAg2
Source: Alexandria
Functional: GGA-PBEsol
Structure: optimized geometry

Unit cell a=7.294 b=7.294 c=4.429 alpha=90.00 beta=90.00 gamma=90.00
Fractional coordinates of all 10 atoms:
Na 0.169 0.331 0.000
Na 0.331 0.831 0.000
Na 0.669 0.169 0.000
Na 0.831 0.669 0.000
Tl 0.000 0.000 0.500
Tl 0.500 0.500 0.500
Ag 0.132 0.632 0.500
Ag 0.368 0.132 0.500
Ag 0.632 0.868 0.500
Ag 0.868 0.368 0.500

**Uncorrected energy**: -2.38 eV per atom
**DFT formation energy**: 32 meV per atom
**Calculated volume**: 23.56 A^3/atom


22.
Compound: CrMoRh2
Source: Alexandria
Functional: GGA-PBEsol
Structure: optimized geometry

Unit cell a=2.677 b=4.265 c=4.669 alpha=90.00 beta=90.00 gamma=90.00
Fractional coordinates of all 4 atoms:
Cr 0.000 0.000 0.000
Mo 0.000 0.500 0.666
Rh 0.500 0.000 0.501
Rh 0.500 0.500 0.150

**Uncorrected energy**: -9.69 eV per atom
**Relative energy among the computed polymorphs**: 0.000 eV/atom
**DFT formation energy**: -120 meV per atom
**Calculated volume**: 13.33 A^3/atom


23.
Compound: YCdIN2
Source: Alexandria
Functional: GGA-PBEsol
Structure: optimized geometry

Unit cell a=4.305 b=4.305 c=5.469 alpha=90.00 beta=90.00 gamma=90.00
Fractional coordinates of all 5 atoms:
Y 0.000 0.000 0.000
Cd 0.500 0.500 0.500
I 0.500 0.500 0.000
N 0.000 0.500 0.500
N 0.500 0.000 0.500

**Uncorrected energy**: -4.35 eV per atom
**Energy relative to the elements, uncorrected**: 489 kJ/mol of formula units
**Calculated volume**: 20.27 A^3/atom


24.
Compound: LaB3O6
Source: Alexandria
Functional: GGA-PBEsol
Structure: optimized geometry

Unit cell a=6.403 b=6.403 c=6.454 alpha=117.45 beta=117.45 gamma=79.01
Fractional coordinates of all 20 atoms:
La 0.198 0.802 0.750
La 0.802 0.198 0.250
B 0.206 0.343 0.919
B 0.221 0.779 0.250
B 0.343 0.206 0.419
B 0.657 0.794 0.581
B 0.779 0.221 0.750
B 0.794 0.657 0.081
O 0.006 0.782 0.286
O 0.208 0.586 0.009
O 0.214 0.386 0.505
O 0.218 0.994 0.214
O 0.386 0.214 0.005
O 0.414 0.792 0.491
O 0.586 0.208 0.509
O 0.614 0.786 0.995
O 0.782 0.006 0.786
O 0.786 0.614 0.495
O 0.792 0.414 0.991
O 0.994 0.218 0.714

**Uncorrected energy**: -8.59 eV per atom
**Energy relative to the elements, uncorrected**: -2702 kJ/mol of formula units
**Relative energy among the computed polymorphs**: 0.033 eV/atom
**Calculated volume**: 10.41 A^3/atom


25.
Compound: PI2O2
Source: Alexandria
Functional: GGA-PBEsol
Structure: optimized geometry

Unit cell a=5.482 b=5.482 c=3.388 alpha=90.00 beta=90.00 gamma=90.00
Fractional coordinates of all 5 atoms:
P 0.000 0.000 0.000
I 0.000 0.500 0.000
I 0.500 0.000 0.000
O 0.000 0.000 0.500
O 0.500 0.500 0.500

**Uncorrected energy**: -3.67 eV per atom
**Energy relative to the elements, uncorrected**: 143 kJ/mol of formula units
**Calculated volume**: 20.37 A^3/atom